[1]
DFT (PBE) results for Cu3SbBr after structural relaxation.

Unit cell a=4.723 b=4.723 c=4.723 alpha=90.00 beta=90.00 gamma=90.00
Sites, in units of the cell vectors:
Cu (0.000, 0.000, 0.500)
Sb (0.500, 0.500, 0.500)
Br (0.000, 0.000, 0.000)
Cu (0.000, 0.500, 0.000)
Cu (0.500, 0.000, 0.000)

Uncorrected formation energy ... 0.7774 eV/atom

---

[2]
DFT (PBE) results for TbPa2Sb3 after structural relaxation.

Unit cell a=7.574 b=7.574 c=7.610 alpha=99.55 beta=99.55 gamma=120.03
Site moments in Bohr magnetons follow the coordinates.
Sites, in units of the cell vectors:
Pa (0.166, 0.834, 0.500)  0.74
Sb (0.917, 0.584, 0.751)  -0.01
Sb (0.416, 0.083, 0.249)  -0.01
Tb (0.000, 0.000, 0.000)  -0.02
Sb (0.083, 0.416, 0.249)  -0.02
Tb (0.667, 0.333, 0.000)  -0.02
Pa (0.833, 0.167, 0.500)  0.76
Sb (0.584, 0.917, 0.751)  -0.02
Sb (0.750, 0.750, 0.249)  -0.01
Pa (0.500, 0.500, 0.500)  0.74
Pa (0.333, 0.667, 0.000)  0.77
Sb (0.250, 0.250, 0.751)  -0.01

Uncorrected formation energy ... -0.6593 eV/atom

---

[3]
DFT (PBE) results for CaPm2Sm9 after structural relaxation.

Unit cell a=5.162 b=5.162 c=15.453 alpha=90.00 beta=90.00 gamma=90.00
Sites, in units of the cell vectors:
Sm (0.500, 0.000, 0.828)
Sm (0.500, 0.000, 0.500)
Sm (0.500, 0.500, 0.000)
Sm (0.500, 0.000, 0.172)
Pm (0.000, 0.000, 0.333)
Sm (0.500, 0.500, 0.666)
Sm (0.000, 0.500, 0.500)
Sm (0.500, 0.500, 0.334)
Sm (0.000, 0.500, 0.172)
Sm (0.000, 0.500, 0.828)
Ca (0.000, 0.000, 0.000)
Pm (0.000, 0.000, 0.667)

Formation energy from the elements ... 0.040 eV per atom

---

[4]
DFT (PBE) results for Ce2Ho3Te6 after structural relaxation.

Unit cell a=7.565 b=7.559 c=7.668 alpha=80.46 beta=70.65 gamma=59.97
Site moments in Bohr magnetons follow the coordinates.
Sites, in units of the cell vectors:
Te (0.907, 0.677, 0.246)  -0.01
Ho (0.000, 0.000, 0.000)  0.03
Te (0.737, 0.000, 0.758)  -0.01
Ce (0.835, 0.330, 0.500)  1.00
Ce (0.165, 0.670, 0.500)  1.00
Te (0.263, 0.000, 0.242)  -0.01
Te (0.093, 0.323, 0.754)  -0.01
Ho (0.670, 0.660, 0.000)  0.03
Te (0.416, 0.677, 0.754)  -0.01
Te (0.584, 0.323, 0.246)  -0.01
Ho (0.330, 0.340, 0.000)  0.03

Uncorrected formation energy ... -1.3782 eV/atom

---

[5]
DFT (PBE) results for Sc4Cd3In after structural relaxation.

Unit cell a=5.008 b=5.008 c=8.684 alpha=73.24 beta=73.24 gamma=60.00
Sites, in units of the cell vectors:
Sc (0.375, 0.375, 0.874)
Sc (0.125, 0.125, 0.624)
Cd (0.249, 0.249, 0.254)
Sc (0.625, 0.625, 0.126)
In (0.000, 0.000, 0.000)
Sc (0.875, 0.875, 0.376)
Cd (0.751, 0.751, 0.746)
Cd (0.500, 0.500, 0.500)

Formation energy from the elements ... -0.336 eV per atom

---

[6]
DFT (PBE) results for Ag2HgSbCl6 after structural relaxation.

Unit cell a=7.134 b=7.126 c=7.673 alpha=90.06 beta=117.77 gamma=120.02
Sites, in units of the cell vectors:
Cl (0.453, 0.070, 0.206)
Hg (0.986, 0.492, 0.463)
Cl (0.108, 0.201, 0.708)
Cl (0.520, 0.905, 0.710)
Cl (0.817, 0.613, 0.710)
Cl (0.837, 0.767, 0.205)
Ag (0.492, 0.245, 0.724)
Sb (0.001, 0.000, 0.987)
Ag (0.601, 0.800, 0.385)
Cl (0.152, 0.384, 0.205)

Uncorrected formation energy ... -0.5250 eV/atom

---

[7]
DFT (PBE) results for Ba4SiICl2 after structural relaxation.

Unit cell a=4.830 b=8.019 c=8.535 alpha=70.12 beta=90.00 gamma=90.00
Sites, in units of the cell vectors:
Cl (0.000, 0.000, 0.000)
I (0.500, 0.500, 0.000)
Cl (0.500, 0.000, 0.500)
Ba (0.000, 0.753, 0.720)
Ba (0.000, 0.247, 0.280)
Ba (0.500, 0.741, 0.277)
Si (0.000, 0.500, 0.500)
Ba (0.500, 0.259, 0.723)

Uncorrected formation energy ... -1.3832 eV/atom

---

[8]
DFT (PBE) results for EuTiS3 after structural relaxation.

Unit cell a=4.746 b=4.746 c=4.746 alpha=90.00 beta=90.00 gamma=90.00
Site moments in Bohr magnetons follow the coordinates.
Sites, in units of the cell vectors:
S (0.000, 0.500, 0.000)  0.03
Ti (0.000, 0.000, 0.000)  -0.05
S (0.500, 0.000, 0.000)  0.03
Eu (0.500, 0.500, 0.500)  -6.78
S (0.000, 0.000, 0.500)  0.03

Uncorrected formation energy ... -1.4825 eV/atom

---

| no. | D(E_F) (states/eV per atom) |
| --- | --- |
| 1 | 0.56 |
| 2 | 1.73 |
| 3 | 1.55 |
| 4 | 1.61 |
| 5 | 1.04 |
| 6 | 0.49 |
| 7 | 0.42 |
| 8 | 2.23 |